A plane-wave DFT calculation with PBE was carried out for a geometry-optimized AlReSb2 structure.

Cell lengths 6.1093, 6.1093, 12.5251 Å; angles 90.00, 90.00, 90.00 degrees
Space group I-42d (No. 122)
Symmetry-distinct sites (fractional):
Al1 0.0000 0.0000 0.0000
Re1 0.0000 0.0000 0.5000
Sb1 0.2279 0.2500 0.6250

Values from the calculation:
DOS(E_F)   3.7 states/eV/f.u.
Magnetization   0.0 μB per formula unit
Uncorrected energy   -5.419 eV/atom

A plane-wave DFT calculation with PBE was carried out for a geometry-optimized LaGeHPd2 structure.

Cell lengths 4.0926, 11.1003, 7.3780 Å; angles 90.00, 90.00, 90.00 degrees
Space group Cmcm (No. 63)
Symmetry-distinct sites (fractional):
La1 0.0000 0.0599 0.2500
Ge1 0.0000 0.2237 0.7500
H1 0.0000 0.5000 0.0000
Pd1 0.0000 0.3390 0.0549

Values from the calculation:
DOS(E_F)   1.8 states/eV/f.u.
Magnetization   0.0 μB per formula unit
Uncorrected energy   -5.435 eV/atom

A plane-wave DFT calculation with PBE was carried out for a geometry-optimized ZrTl5Te4 structure.

Cell lengths 19.4186, 4.3174, 9.2123 Å; angles 90.00, 116.18, 90.00 degrees
Space group C2/m (No. 12)
Symmetry-distinct sites (fractional):
Zr1 0.0000 0.0000 0.0000
Tl1 0.0000 0.0000 0.5000
Tl2 0.1456 0.5000 0.7644
Tl3 0.2137 0.5000 0.3283
Te1 0.0372 0.5000 0.2477
Te2 0.1588 0.0000 0.0415

Values from the calculation:
DOS(E_F)   3.1 states/eV/f.u.
Magnetization   0.0 μB per formula unit
Uncorrected energy   -3.696 eV/atom

A plane-wave DFT calculation with PBE was carried out for a geometry-optimized Cs4PmTh3Se8 structure.

Cell lengths 8.6295, 8.6295, 25.5083 Å; angles 90.00, 90.00, 120.00 degrees
Space group R-3m (No. 166, hexagonal axes)
Symmetry-distinct sites (fractional):
Cs1 0.0000 0.0000 0.0000
Cs2 0.0000 0.5000 0.0000
Pm1 0.0000 0.0000 0.5000
Th1 0.0000 0.5000 0.5000
Se1 0.0000 0.0000 0.2318
Se2 0.0027 0.5013 0.7687

Values from the calculation:
DOS(E_F)   10.0 states/eV/f.u.
Magnetization   0.0 μB per formula unit
Uncorrected energy   -5.217 eV/atom

A plane-wave DFT calculation with PBE was carried out for a geometry-optimized Ru3Pt2Rh4 structure.

Cell lengths 4.7475, 9.3620, 12.1327 Å; angles 90.00, 90.00, 90.00 degrees
Space group Fmmm (No. 69)
Symmetry-distinct sites (fractional):
Ru1 0.0000 0.0000 0.0000
Ru2 0.2500 0.2500 0.0000
Pt1 0.0000 0.0000 0.3856
Rh1 0.0000 0.1411 0.1859

Values from the calculation:
DOS(E_F)   16.6 states/eV/f.u.
Energy of formation from the pure elements   2.6 eV per formula unit
Magnetization   0.2 μB per formula unit
Uncorrected energy   -7.413 eV/atom

A plane-wave DFT calculation with PBE was carried out for a geometry-optimized Cd3Ga5Pb12 structure.

Cell lengths 17.3092, 17.3092, 17.3092 Å; angles 90.00, 90.00, 90.00 degrees
Space group Ia-3d (No. 230)
Symmetry-distinct sites (fractional):
Cd1 0.0000 0.2500 0.1250
Ga1 0.0000 0.0000 0.0000
Ga2 0.0000 0.2500 0.3750
Pb1 0.0220 0.0779 0.6489

Values from the calculation:
DOS(E_F)   11.5 states/eV/f.u.
Energy of formation from the pure elements   3.8 eV per formula unit
Magnetization   0.0 μB per formula unit
Uncorrected energy   -2.930 eV/atom